# 1
# TaSiTe2 PBE relaxed
data_TaSiTe2
_chemical_formula_sum 'Ta1 Si1 Te2'
_space_group_name_H-M_alt 'P 4 m m'
_space_group_IT_number 99
_cell_length_a 3.434
_cell_length_b 3.434
_cell_length_c 8.158
_cell_angle_alpha 90.00
_cell_angle_beta 90.00
_cell_angle_gamma 90.00
loop_
_space_group_symop_operation_xyz
'x,y,z'
'-y,x,z'
'-x,-y,z'
'y,-x,z'
'-x,y,z'
'y,x,z'
'x,-y,z'
'-y,-x,z'
loop_
_atom_site_label
_atom_site_type_symbol
_atom_site_fract_x
_atom_site_fract_y
_atom_site_fract_z
Ta1 Ta 0.000 0.000 0.000
Si1 Si 0.500 0.500 0.863
Te1 Te 0.000 0.000 0.654
Te2 Te 0.500 0.500 0.217
# Magnetization ... 0.00 μB/f.u.
# DOS at the Fermi energy ... 1.5 states/eV/cell
# Total energy ... -6.034 eV per atom



# 2
# Lu2HfAg PBE relaxed
data_Lu2HfAg
_chemical_formula_sum 'Lu6 Hf3 Ag3'
_space_group_name_H-M_alt 'R -3 m'
_space_group_IT_number 166
_space_group_name_Hall '-R 3 2"'
_cell_length_a 3.1722
_cell_length_b 3.1722
_cell_length_c 33.8902
_cell_angle_alpha 90.00
_cell_angle_beta 90.00
_cell_angle_gamma 120.00
loop_
_atom_site_label
_atom_site_type_symbol
_atom_site_fract_x
_atom_site_fract_y
_atom_site_fract_z
Lu1 Lu 0.0000 0.0000 0.0925
Hf1 Hf 0.0000 0.0000 0.0000
Ag1 Ag 0.0000 0.0000 0.5000
# Magnetization ... 0.00 μB/f.u.
# DOS at the Fermi energy ... 11.2 states/eV/cell
# Total energy ... -5.152 eV per atom
# Offset from the most stable computed form ... 431 meV/atom
# DFT formation energy ... 0.31 eV per atom



# 3
# La2ZrZn PBE relaxed
data_La2ZrZn
_chemical_formula_sum 'La4 Zr2 Zn2'
_space_group_name_H-M_alt 'I 4/m m m'
_space_group_IT_number 139
_space_group_name_Hall '-I 4 2'
_cell_length_a 4.776
_cell_length_b 4.776
_cell_length_c 9.416
_cell_angle_alpha 90.00
_cell_angle_beta 90.00
_cell_angle_gamma 90.00
loop_
_atom_site_label
_atom_site_type_symbol
_atom_site_fract_x
_atom_site_fract_y
_atom_site_fract_z
La1 La 0.000 0.500 0.250
Zr1 Zr 0.000 0.000 0.000
Zn1 Zn 0.000 0.000 0.500
# Magnetization ... 0.00 μB/f.u.
# DOS at the Fermi energy ... 9.9 states/eV/cell
# Total energy ... -4.853 eV per atom
# DFT formation energy ... 0.07 eV per atom



# 4
# Cs2TlBr PBE relaxed
data_Cs2TlBr
_chemical_formula_sum 'Cs8 Tl4 Br4'
_space_group_name_H-M_alt 'I -4 2 d'
_space_group_IT_number 122
_space_group_name_Hall 'I -4 2bw'
_cell_length_a 10.262
_cell_length_b 10.262
_cell_length_c 9.037
_cell_angle_alpha 90.00
_cell_angle_beta 90.00
_cell_angle_gamma 90.00
loop_
_atom_site_label
_atom_site_type_symbol
_atom_site_fract_x
_atom_site_fract_y
_atom_site_fract_z
Cs1 Cs 0.201 0.250 0.125
Tl1 Tl 0.000 0.000 0.500
Br1 Br 0.000 0.000 0.000
# Magnetization ... 0.00 μB/f.u.
# DOS at the Fermi energy ... 2.9 states/eV/cell
# Total energy ... -2.072 eV per atom
# Offset from the most stable computed form ... 147 meV/atom



# 5
# SrMnAg2 PBE relaxed
data_SrMnAg2
_chemical_formula_sum 'Sr2 Mn2 Ag4'
_space_group_name_H-M_alt 'I -4 m 2'
_space_group_IT_number 119
_space_group_name_Hall 'I -4 -2'
_cell_length_a 4.529
_cell_length_b 4.529
_cell_length_c 8.842
_cell_angle_alpha 90.00
_cell_angle_beta 90.00
_cell_angle_gamma 90.00
loop_
_atom_site_label
_atom_site_type_symbol
_atom_site_fract_x
_atom_site_fract_y
_atom_site_fract_z
Sr1 Sr 0.000 0.000 0.000
Mn1 Mn 0.000 0.500 0.250
Ag1 Ag 0.000 0.000 0.500
Ag2 Ag 0.000 0.500 0.750
# Magnetization ... 4.23 μB/f.u.
# DOS at the Fermi energy ... 6.3 states/eV/cell
# Total energy ... -3.878 eV per atom
# DFT formation energy ... 0.26 eV per atom



# 6
# Nb4SiH2 PBE relaxed
data_Nb4SiH2
_chemical_formula_sum 'Nb32 Si8 H16'
_space_group_name_H-M_alt 'F d d 2'
_space_group_IT_number 43
_space_group_name_Hall 'F 2 -2d'
_cell_length_a 11.043
_cell_length_b 11.563
_cell_length_c 6.065
_cell_angle_alpha 90.00
_cell_angle_beta 90.00
_cell_angle_gamma 90.00
loop_
_atom_site_label
_atom_site_type_symbol
_atom_site_fract_x
_atom_site_fract_y
_atom_site_fract_z
Nb1 Nb 0.081 0.110 0.000
Nb2 Nb 0.108 0.190 0.559
Si1 Si 0.000 0.000 0.644
H1 H 0.087 0.356 0.545
# Magnetization ... 0.00 μB/f.u.
# DOS at the Fermi energy ... 18.6 states/eV/cell
# Total energy ... -7.669 eV per atom



# 7
# Ca8Ga2Pb PBE relaxed
data_Ca8Ga2Pb
_chemical_formula_sum 'Ca16 Ga4 Pb2'
_space_group_name_H-M_alt 'C 1 2/m 1'
_space_group_IT_number 12
_cell_length_a 18.655
_cell_length_b 5.302
_cell_length_c 7.677
_cell_angle_alpha 90.00
_cell_angle_beta 111.43
_cell_angle_gamma 90.00
loop_
_space_group_symop_operation_xyz
'x,y,z'
'-x,-y,-z'
'-x,y,-z'
'x,-y,z'
'x+1/2,y+1/2,z'
'-x+1/2,-y+1/2,-z'
'-x+1/2,y+1/2,-z'
'x+1/2,-y+1/2,z'
loop_
_atom_site_label
_atom_site_type_symbol
_atom_site_fract_x
_atom_site_fract_y
_atom_site_fract_z
Ca1 Ca 0.030 0.000 0.273
Ca2 Ca 0.100 0.500 0.963
Ca3 Ca 0.174 0.500 0.456
Ca4 Ca 0.196 0.000 0.801
Ga1 Ga 0.181 0.000 0.188
Pb1 Pb 0.000 0.500 0.500
# Magnetization ... 0.00 μB/f.u.
# DOS at the Fermi energy ... 12.6 states/eV/cell
# Total energy ... -2.677 eV per atom
# Offset from the most stable computed form ... 0 meV/atom
# DFT formation energy ... -0.33 eV per atom



# 8
# SrRuW2 PBE relaxed
data_SrRuW2
_chemical_formula_sum 'Sr2 Ru2 W4'
_space_group_name_H-M_alt 'C 1 m 1'
_space_group_IT_number 8
_cell_length_a 9.667
_cell_length_b 3.074
_cell_length_c 6.031
_cell_angle_alpha 90.00
_cell_angle_beta 104.32
_cell_angle_gamma 90.00
loop_
_space_group_symop_operation_xyz
'x,y,z'
'x,-y,z'
'x+1/2,y+1/2,z'
'x+1/2,-y+1/2,z'
loop_
_atom_site_label
_atom_site_type_symbol
_atom_site_fract_x
_atom_site_fract_y
_atom_site_fract_z
Sr1 Sr 0.000 0.000 0.000
Ru1 Ru 0.271 0.500 0.334
W1 W 0.205 0.000 0.634
W2 W 0.488 0.000 0.486
# Magnetization ... 0.00 μB/f.u.
# DOS at the Fermi energy ... 6.1 states/eV/cell
# Total energy ... -8.466 eV per atom
# Offset from the most stable computed form ... 88 meV/atom
# DFT formation energy ... 0.75 eV per atom



Which value of DOS at the Fermi energy does entry 2 give?
11.2 states/eV/cell